(a)
Li4Hg2Sb after structural relaxation, computed with GGA-PBE.

Summary:
SG   Cmmm
D(E_F)   0.411 states/eV per atom
Magnetization   0.000 μB per formula unit

```
Li4Hg2Sb
1.0
-1.2313 -0.3506 4.5008
-2.0741 -4.1754 -0.8926
7.9100 -1.6659 2.0342
Hg Sb Li
2 1 4
Cartesian
2.5513 -4.5589 2.7753
2.0534 -1.6329 2.8670
-1.0371 -2.0877 -0.4463
4.6219 -5.1783 0.8611
5.0169 -3.2514 3.5517
-0.4122 -2.9405 2.0907
1.2140 -0.6630 0.2805
```


(b)
Li4Hg2Sb after structural relaxation, computed with GGA-PBE.

Summary:
SG   I4/mmm
D(E_F)   0.380 states/eV per atom
Magnetization   0.000 μB per formula unit

```
Li4Hg2Sb
1.0
-1.8916 3.2060 4.4845
0.8871 -5.4042 1.9939
4.7961 2.5854 -2.0690
Li Hg Sb
4 2 1
Cartesian
-0.9458 1.6030 2.2423
2.3980 1.2927 -1.0345
0.4435 -2.7021 0.9969
1.8957 0.1936 2.2047
-0.5023 -1.0991 3.2392
1.4522 2.8957 1.2077
0.0000 0.0000 0.0000
```


The data favor (b); the next most stable structure lies 2.2 kJ/mol of atoms above it.


(a)
Li3Hg2Sb after structural relaxation, computed with GGA-PBE.

Summary:
SG   Pmc2_1
D(E_F)   0.242 states/eV per atom
Magnetization   0.000 μB per formula unit

```
Li3Hg2Sb
1.0
-1.5971 3.4944 2.6465
1.3911 -3.0244 4.8329
8.1336 3.7251 -0.0100
Hg Li Sb
4 6 2
Cartesian
3.5625 -1.7076 4.4046
6.4128 1.4286 1.9838
2.8943 2.8748 2.0630
4.7661 1.9013 4.4781
2.0081 0.7984 4.2699
7.4485 3.1522 4.4452
0.1949 1.6609 2.0368
6.1376 -0.5647 4.4497
5.5305 4.2423 1.8482
3.8654 0.2254 2.0351
1.2150 -1.1110 2.2002
8.8811 0.5692 4.6081
```


(b)
Li3Hg2Sb after structural relaxation, computed with GGA-PBE.

Summary:
SG   Cmmm
D(E_F)   0.214 states/eV per atom
Magnetization   0.000 μB per formula unit

```
Li3Hg2Sb
1.0
2.3404 -7.0400 0.0000
2.3404 7.0400 0.0000
0.0000 0.0000 7.0686
Li Hg Sb
6 4 2
Cartesian
2.3404 -4.6808 5.2697
2.3404 0.0000 5.2405
2.3404 4.6808 1.7989
2.3404 -4.6808 1.7989
2.3404 4.6808 5.2697
2.3404 0.0000 1.8282
2.3404 -2.3127 3.5343
2.3404 2.3127 3.5343
0.0000 0.0000 3.5343
0.0000 0.0000 0.0000
2.3404 2.2665 0.0000
2.3404 -2.2665 0.0000
```


The data favor (b); the next most stable structure lies 4.4 kJ/mol of atoms above it.


(a)
Li2HgSb2 after structural relaxation, computed with GGA-PBE.

Summary:
SG   C2/m
D(E_F)   0.280 states/eV per atom
Magnetization   0.000 μB per formula unit

```
Li2HgSb2
1.0
-3.2226 4.2314 0.2914
-4.6883 1.0198 -2.3139
-4.2534 -1.3066 4.0035
Sb Li Hg
2 2 1
Cartesian
-5.9164 2.1637 2.5085
-6.2479 1.7809 -0.5275
-8.5303 1.3880 1.2408
-3.6340 2.5566 0.7401
-2.3442 0.5099 -1.1570
```


(b)
Li2HgSb2 after structural relaxation, computed with GGA-PBE.

Summary:
SG   I4/mmm
D(E_F)   0.618 states/eV per atom
Magnetization   0.000 μB per formula unit

```
Li2HgSb2
1.0
4.5623 0.0000 0.0000
0.0000 4.5623 0.0000
2.2812 2.2812 5.8886
Li Sb Hg
2 2 1
Cartesian
4.5623 2.2812 2.9443
2.2812 4.5623 2.9443
2.2812 2.2812 1.3757
4.5623 4.5623 4.5129
0.0000 0.0000 0.0000
```


(c)
Li2HgSb2 after structural relaxation, computed with GGA-PBE.

Summary:
SG   P4/mbm
D(E_F)   0.320 states/eV per atom
Magnetization   0.000 μB per formula unit

```
Li2HgSb2
1.0
-0.5245 7.0478 -5.5158
-4.3414 -5.0319 -6.0168
-2.5826 0.7653 1.2234
Li Sb Hg
4 4 2
Cartesian
-3.8773 -1.8089 -7.0533
-3.2649 2.7288 -8.5990
-1.6010 -0.7129 -2.9336
-0.9885 3.8248 -4.4793
-3.2838 4.6234 -6.2472
-2.1047 2.1623 -2.2185
-5.3437 0.6189 -8.0906
-4.1646 -1.8422 -4.0620
0.0000 0.0000 0.0000
-2.4329 1.0079 -5.7663
```


(d)
Li2HgSb2 after structural relaxation, computed with GGA-PBE.

Summary:
SG   P4/mbm
D(E_F)   0.371 states/eV per atom
Magnetization   0.000 μB per formula unit

```
Li2HgSb2
1.0
-3.1059 3.9187 -7.1070
-0.5905 -7.6986 -3.9868
-2.8586 -0.3327 1.0658
Sb Li Hg
4 4 2
Cartesian
-1.4947 -5.0760 -5.5935
-2.9597 -1.9694 -8.5529
-0.7367 -1.8106 -2.5410
-2.2016 1.2960 -5.5004
-2.6751 0.3742 -2.6395
-4.3790 0.3646 -7.2126
-3.8800 -4.4868 -7.3885
-2.1760 -4.4773 -2.8154
-1.8482 -1.8900 -5.5469
0.0000 0.0000 0.0000
```


The data favor (a); the next most stable structure lies 2.9 kJ/mol of atoms above it.


(a)
Li6HgSb2 after structural relaxation, computed with GGA-PBE.

Summary:
SG   C2/m
D(E_F)   0.101 states/eV per atom
Magnetization   0.000 μB per formula unit

```
Li6HgSb2
1.0
4.7486 0.0000 -0.1608
0.0000 6.4188 0.0000
-2.0557 -3.2094 7.2112
Li Sb Hg
6 2 1
Cartesian
2.5639 -1.4424 4.3749
2.3743 4.5938 -0.0804
2.3743 1.8250 -0.0804
2.5639 1.4424 4.3749
0.1290 4.6518 2.6755
0.1290 1.7670 2.6755
2.4933 3.2094 2.2297
0.1996 0.0000 4.8207
0.0000 0.0000 0.0000
```


(b)
Li6HgSb2 after structural relaxation, computed with GGA-PBE.

Summary:
SG   C2/m
D(E_F)   0.095 states/eV per atom
Magnetization   0.000 μB per formula unit

```
Li6HgSb2
1.0
4.7730 0.0000 0.0000
-2.3865 4.0860 -0.6453
0.0000 1.3711 8.8318
Li Hg Sb
6 1 2
Cartesian
2.3865 1.4718 0.5199
2.3865 4.3418 1.0726
0.0000 1.1154 7.1139
0.0000 3.9854 7.6667
2.3865 1.9061 3.3075
0.0000 3.5510 4.8790
0.0000 0.6855 4.4159
2.3865 2.4228 6.5585
0.0000 3.0343 1.6281
```


The data favor (b); the next most stable structure lies 9.3 kJ/mol of atoms above it.


(a)
Li3Hg4Sb after structural relaxation, computed with GGA-PBE.

Summary:
SG   P-1
D(E_F)   0.180 states/eV per atom
Magnetization   0.000 μB per formula unit

```
Li3Hg4Sb
1.0
-0.3936 -3.1903 0.8934
1.8397 -1.3652 -4.0570
8.6445 1.8265 11.1485
Sb Hg Li
1 4 3
Cartesian
0.0000 0.0000 0.0000
3.5677 0.5723 4.0200
6.5230 -3.3012 3.9649
2.6477 -0.0987 1.1506
7.4430 -2.6302 6.8343
5.5413 -1.0275 5.4367
4.5493 -1.7014 2.5483
0.7231 -2.2777 -1.5818
```


(b)
Li3Hg4Sb after structural relaxation, computed with GGA-PBE.

Summary:
SG   C2/m
D(E_F)   0.337 states/eV per atom
Magnetization   0.000 μB per formula unit

```
Li3Hg4Sb
1.0
-2.1777 3.7036 -1.6270
-1.9892 -2.5816 -3.2141
-2.0798 0.5592 10.5431
Hg Sb Li
4 1 3
Cartesian
-2.4454 1.5274 6.7499
-4.5362 2.0840 4.3293
-3.8014 0.1538 -1.0479
-1.7105 -0.4028 1.3727
-1.0889 1.8518 -0.8135
-4.1414 1.1269 1.6223
-2.1053 0.5543 4.0797
-0.9946 -1.2908 -1.6070
```


The data favor (b); the next most stable structure lies 2.3 kJ/mol of atoms above it.


(a)
LiSnHgSb after structural relaxation, computed with GGA-PBE.

Summary:
SG   Cm
D(E_F)   0.199 states/eV per atom
Magnetization   0.000 μB per formula unit

```
LiSnHgSb
1.0
4.4019 0.0746 0.0844
-2.1300 3.8529 -0.0844
-2.0406 -1.4405 6.2033
Sn Li Sb Hg
1 1 1 1
Cartesian
1.5119 -0.8746 5.5600
1.3859 1.8192 2.1373
-0.8138 3.0916 0.8323
-0.7835 0.4532 3.4841
```


(b)
LiSnHgSb after structural relaxation, computed with GGA-PBE.

Summary:
SG   F-43m
D(E_F)   0.203 states/eV per atom
Magnetization   0.000 μB per formula unit

```
LiSnHgSb
1.0
-1.1434 0.2169 -5.1150
3.7853 -0.6908 -3.5653
0.1066 -4.3705 -2.8991
Li Sn Sb Hg
1 1 1 1
Cartesian
2.0615 -3.6333 -8.6845
0.6872 -1.2111 -2.8948
1.3743 -2.4222 -5.7897
0.0000 0.0000 0.0000
```


The data favor (a); the next most stable structure lies 2.0 kJ/mol of atoms above it.


(a)
LiScHg3 after structural relaxation, computed with GGA-PBE.

Summary:
SG   C2/m
D(E_F)   0.554 states/eV per atom
Magnetization   0.000 μB per formula unit

```
LiScHg3
1.0
-5.0400 1.0222 -3.2653
-0.0345 -4.6776 -1.4111
-0.1187 -0.1193 8.8573
Sc Li Hg
2 2 6
Cartesian
-1.2240 -1.7265 5.7533
-3.9692 -2.0482 -1.5723
-3.0963 -0.3975 1.3936
-2.0969 -3.3771 2.7874
-1.3773 0.2338 -0.7414
-0.5941 -0.8942 2.9786
-4.5991 -2.8805 1.2023
-3.6928 -1.1754 3.9868
-3.8159 -4.0085 4.9224
-1.5004 -2.5993 0.1942
```


(b)
LiScHg3 after structural relaxation, computed with GGA-PBE.

Summary:
SG   Pm-3m
D(E_F)   0.829 states/eV per atom
Magnetization   0.000 μB per formula unit

```
LiScHg3
1.0
-3.0694 -1.5813 -3.2949
3.6451 -1.0122 -2.9098
0.2653 -4.3878 1.8587
Hg Sc Li
3 1 1
Cartesian
1.8225 -0.5061 -1.4549
-1.5347 -0.7906 -1.6474
0.1326 -2.1939 0.9293
0.4204 -3.4907 -2.1730
0.0000 0.0000 0.0000
```


The data favor (a); the next most stable structure lies 25.3 kJ/mol of atoms above it.


(a)
LiScHg2 after structural relaxation, computed with GGA-PBE.

Summary:
SG   R3m
D(E_F)   0.761 states/eV per atom
Magnetization   0.000 μB per formula unit

```
LiScHg2
1.0
3.4908 0.0000 0.0000
1.7454 3.0231 0.0000
1.7454 1.0077 8.2982
Hg Li Sc
2 1 1
Cartesian
1.7454 1.0077 6.0859
1.7454 1.0077 2.2051
3.4908 2.0154 4.1641
5.2362 3.0231 8.2906
```


(b)
LiScHg2 after structural relaxation, computed with GGA-PBE.

Summary:
SG   Cm
D(E_F)   0.348 states/eV per atom
Magnetization   0.000 μB per formula unit

```
LiScHg2
1.0
5.4126 0.0515 -0.0372
4.4061 3.1440 -0.0372
0.6829 0.2222 5.0341
Hg Sc Li
2 1 1
Cartesian
0.6849 0.2229 4.7772
2.6577 0.8650 1.5252
7.8269 2.5473 3.9857
5.2656 1.7137 2.1856
```


The data favor (b); the next most stable structure lies 6.6 kJ/mol of atoms above it.


(a)
LiScHg2 after structural relaxation, computed with GGA-PBE.

Summary:
SG   R-3m
D(E_F)   0.527 states/eV per atom
Magnetization   0.000 μB per formula unit

```
LiScHg2
1.0
8.4527 -0.1125 -0.0667
7.7619 3.3486 -0.0667
7.7619 1.5491 2.9695
Hg Li Sc
2 1 1
Cartesian
23.8736 4.7647 2.8240
12.0913 2.4132 1.4303
5.9941 1.1963 0.7090
17.9824 3.5890 2.1271
```


(b)
LiScHg2 after structural relaxation, computed with GGA-PBE.

Summary:
SG   I-42d
D(E_F)   0.658 states/eV per atom
Magnetization   0.000 μB per formula unit

```
LiScHg2
1.0
-4.5449 -1.0823 5.8253
-4.9097 -3.4218 -4.4663
-3.3140 -5.0424 1.2637
Li Sc Hg
2 2 4
Cartesian
-6.4754 -5.3581 -1.2615
-4.7273 -2.2520 0.6795
-6.2931 -4.1884 3.8842
0.0000 0.0000 0.0000
-4.1392 -2.3306 3.2144
-4.6087 -3.5687 -1.5634
-6.1860 -5.5789 1.3163
-10.6031 -7.6148 2.2779
```


The data favor (a); the next most stable structure lies 11.4 kJ/mol of atoms above it.


(a)
LiSc2Hg3 after structural relaxation, computed with GGA-PBE.

Summary:
SG   P4/mmm
D(E_F)   0.771 states/eV per atom
Magnetization   0.002 μB per formula unit

```
LiSc2Hg3
1.0
3.4250 0.0000 0.0000
0.0000 3.4250 0.0000
0.0000 0.0000 10.5991
Li Hg Sc
1 3 2
Cartesian
1.7125 1.7125 5.2995
0.0000 0.0000 6.9361
0.0000 0.0000 0.0000
0.0000 0.0000 3.6629
1.7125 1.7125 8.7512
1.7125 1.7125 1.8479
```


(b)
LiSc2Hg3 after structural relaxation, computed with GGA-PBE.

Summary:
SG   P-3m1
D(E_F)   0.590 states/eV per atom
Magnetization   0.000 μB per formula unit

```
LiSc2Hg3
1.0
4.8975 0.0000 0.0000
-2.4488 4.2414 0.0000
0.0000 0.0000 11.9834
Sc Hg Li
4 6 2
Cartesian
2.4488 1.4138 9.9184
0.0000 2.8276 2.0650
0.0000 0.0000 5.9917
0.0000 0.0000 0.0000
0.0000 2.8276 5.0347
2.4488 1.4138 1.0444
0.0000 2.8276 10.9390
0.0000 0.0000 3.0354
0.0000 0.0000 8.9480
2.4488 1.4138 6.9487
0.0000 2.8276 7.9774
2.4488 1.4138 4.0060
```


The data favor (b); the next most stable structure lies 2.0 kJ/mol of atoms above it.


(a)
LiHg2Se2 after structural relaxation, computed with GGA-PBE.

Summary:
SG   P4/mbm
D(E_F)   0.249 states/eV per atom
Magnetization   0.000 μB per formula unit

```
LiHg2Se2
1.0
7.6911 0.0000 0.0000
0.0000 7.6911 0.0000
0.0000 0.0000 4.0912
Hg Se Li
4 4 2
Cartesian
4.8432 6.6935 2.0456
6.6935 2.8480 2.0456
0.9976 4.8432 2.0456
2.8480 0.9976 2.0456
5.4061 1.5606 0.0000
1.5606 2.2850 0.0000
6.1306 5.4061 0.0000
2.2850 6.1306 0.0000
3.8456 3.8456 0.0000
0.0000 0.0000 0.0000
```


(b)
LiHg2Se2 after structural relaxation, computed with GGA-PBE.

Summary:
SG   I4/mmm
D(E_F)   0.587 states/eV per atom
Magnetization   0.000 μB per formula unit

```
LiHg2Se2
1.0
-1.7886 1.1680 -5.0279
-4.1281 -3.5182 0.6512
-5.4396 2.0379 -0.5593
Se Hg Li
2 2 1
Cartesian
-6.2630 -1.3277 -1.0482
-5.0933 1.0154 -3.8878
-7.5691 -0.2106 -3.2919
-3.7872 -0.1018 -1.6442
0.0000 0.0000 0.0000
```


The data favor (a); the next most stable structure lies 16.4 kJ/mol of atoms above it.